Entry 1:
# GGA-PBE Be2TlCd, optimized geometry
# Volume ... 73.84 Å³/f.u.
# ΔE_f ... 725 meV per atom
# DOS at the Fermi energy ... 0.99 states/eV/f.u.
# Calculated total energy ... -7.832 eV/cell
# Polymorph energy (0 for the lowest one) ... 261 meV/atom
data_Be2TlCd
_cell_length_a 2.938
_cell_length_b 4.217
_cell_length_c 5.959
_cell_angle_alpha 90.00
_cell_angle_beta 90.00
_cell_angle_gamma 90.00
_symmetry_space_group_name_H-M 'P m m m'
_symmetry_Int_Tables_number 47
loop_
_symmetry_equiv_pos_as_xyz
'x,y,z'
'-x,-y,-z'
'-x,-y,z'
'x,y,-z'
'x,-y,-z'
'-x,y,z'
'-x,y,-z'
'x,-y,z'
loop_
_atom_site_label
_atom_site_type_symbol
_atom_site_fract_x
_atom_site_fract_y
_atom_site_fract_z
_atom_site_occupancy
Be1 Be 0.000 0.000 0.000 1
Be2 Be 0.500 0.000 0.500 1
Tl1 Tl 0.000 0.500 0.500 1
Cd1 Cd 0.500 0.500 0.000 1


Entry 2:
# GGA-PBE ScTlZn2, optimized geometry
# Volume ... 78.80 Å³/f.u.
# ΔE_f ... -60 meV per atom
# DOS at the Fermi energy ... 0.91 states/eV/f.u.
# Calculated total energy ... -45.940 eV/cell
# Polymorph energy (0 for the lowest one) ... 110 meV/atom
data_ScTlZn2
_cell_length_a 6.806
_cell_length_b 6.806
_cell_length_c 6.806
_cell_angle_alpha 90.00
_cell_angle_beta 90.00
_cell_angle_gamma 90.00
_symmetry_space_group_name_H-M 'F -4 3 m'
_symmetry_Int_Tables_number 216
_symmetry_space_group_name_Hall 'F -4 2 3'
loop_
_atom_site_label
_atom_site_type_symbol
_atom_site_fract_x
_atom_site_fract_y
_atom_site_fract_z
_atom_site_occupancy
Sc1 Sc 0.000 0.000 0.000 1
Tl1 Tl 0.250 0.250 0.750 1
Zn1 Zn 0.000 0.000 0.500 1
Zn2 Zn 0.250 0.250 0.250 1


Entry 3:
# GGA-PBE Nd8Ga3PBr4, optimized geometry
# Volume ... 460.02 Å³/f.u.
# Formation energy from raw total energies ... -1047.9 meV per atom
# DOS at the Fermi energy ... 8.61 states/eV/f.u.
# Calculated total energy ... -228.272 eV/cell
data_Nd8Ga3PBr4
_cell_length_a 8.5649
_cell_length_b 8.5649
_cell_length_c 21.7260
_cell_angle_alpha 90.00
_cell_angle_beta 90.00
_cell_angle_gamma 120.00
_symmetry_space_group_name_H-M 'R -3 m'
_symmetry_Int_Tables_number 166
_symmetry_space_group_name_Hall '-R 3 2"'
loop_
_atom_site_label
_atom_site_type_symbol
_atom_site_fract_x
_atom_site_fract_y
_atom_site_fract_z
_atom_site_occupancy
Nd1 Nd 0.0000 0.0000 0.2415 1
Nd2 Nd 0.0055 0.5028 0.2390 1
Ga1 Ga 0.0000 0.5000 0.5000 1
P1 P 0.0000 0.0000 0.5000 1
Br1 Br 0.0000 0.0000 0.0000 1
Br2 Br 0.0000 0.5000 0.0000 1


Entry 4:
# GGA-PBE Np2SbAsH2, optimized geometry
# Volume ... 104.45 Å³/f.u.
# DOS at the Fermi energy ... 13.99 states/eV/f.u.
# Calculated total energy ... -43.717 eV/cell
data_Np2SbAsH2
_cell_length_a 3.8629
_cell_length_b 3.8629
_cell_length_c 8.0828
_cell_angle_alpha 90.00
_cell_angle_beta 90.00
_cell_angle_gamma 120.00
_symmetry_space_group_name_H-M 'P -3 m 1'
_symmetry_Int_Tables_number 164
_symmetry_space_group_name_Hall '-P 3 2"'
loop_
_atom_site_label
_atom_site_type_symbol
_atom_site_fract_x
_atom_site_fract_y
_atom_site_fract_z
_atom_site_occupancy
Np1 Np 0.3333 0.6667 0.2291 1
Sb1 Sb 0.0000 0.0000 0.5000 1
As1 As 0.0000 0.0000 0.0000 1
H1 H 0.3333 0.6667 0.7577 1


Entry 5:
# GGA-PBE CuTcAs2, optimized geometry
# Volume ... 84.76 Å³/f.u.
# ΔE_f ... 261 meV per atom
# DOS at the Fermi energy ... 2.35 states/eV/f.u.
# Calculated total energy ... -90.866 eV/cell
# Polymorph energy (0 for the lowest one) ... 247 meV/atom
data_CuTcAs2
_cell_length_a 5.658
_cell_length_b 5.658
_cell_length_c 10.590
_cell_angle_alpha 90.00
_cell_angle_beta 90.00
_cell_angle_gamma 90.00
_symmetry_space_group_name_H-M 'I -4 2 d'
_symmetry_Int_Tables_number 122
_symmetry_space_group_name_Hall 'I -4 2bw'
loop_
_atom_site_label
_atom_site_type_symbol
_atom_site_fract_x
_atom_site_fract_y
_atom_site_fract_z
_atom_site_occupancy
Cu1 Cu 0.000 0.000 0.000 1
Tc1 Tc 0.000 0.000 0.500 1
As1 As 0.246 0.250 0.625 1


Entry 6:
# GGA-PBE Y12H5Ir3, optimized geometry
# Volume ... 433.17 Å³/f.u.
# DOS at the Fermi energy ... 16.96 states/eV/f.u.
# Calculated total energy ... -1043.185 eV/cell
data_Y12H5Ir3
_cell_length_a 15.133
_cell_length_b 15.133
_cell_length_c 15.133
_cell_angle_alpha 90.00
_cell_angle_beta 90.00
_cell_angle_gamma 90.00
_symmetry_space_group_name_H-M 'I a -3 d'
_symmetry_Int_Tables_number 230
_symmetry_space_group_name_Hall '-I 4bd 2c 3'
loop_
_atom_site_label
_atom_site_type_symbol
_atom_site_fract_x
_atom_site_fract_y
_atom_site_fract_z
_atom_site_occupancy
Y1 Y 0.034 0.061 0.656 1
H1 H 0.000 0.000 0.000 1
H2 H 0.000 0.250 0.375 1
Ir1 Ir 0.000 0.250 0.125 1


Entry 7:
# GGA-PBE BaTm4Ag5, optimized geometry
# Volume ... 249.05 Å³/f.u.
# ΔE_f ... -289 meV per atom
# DOS at the Fermi energy ... 8.54 states/eV/f.u.
# Calculated total energy ... -36.950 eV/cell
data_BaTm4Ag5
_cell_length_a 3.646
_cell_length_b 3.646
_cell_length_c 18.733
_cell_angle_alpha 90.00
_cell_angle_beta 90.00
_cell_angle_gamma 90.00
_symmetry_space_group_name_H-M 'P 4/m m m'
_symmetry_Int_Tables_number 123
_symmetry_space_group_name_Hall '-P 4 2'
loop_
_atom_site_label
_atom_site_type_symbol
_atom_site_fract_x
_atom_site_fract_y
_atom_site_fract_z
_atom_site_occupancy
Ba1 Ba 0.000 0.000 0.000 1
Tm1 Tm 0.000 0.000 0.215 1
Tm2 Tm 0.000 0.000 0.406 1
Ag1 Ag 0.500 0.500 0.131 1
Ag2 Ag 0.500 0.500 0.310 1
Ag3 Ag 0.500 0.500 0.500 1


Entry 8:
# GGA-PBE As4Br, optimized geometry
# Volume ... 129.85 Å³/f.u.
# Formation energy from raw total energies ... 1323.8 meV per atom
# DOS at the Fermi energy ... 4.35 states/eV/f.u.
# Calculated total energy ... -13.652 eV/cell
# Polymorph energy (0 for the lowest one) ... 1248 meV/atom
data_As4Br
_cell_length_a 5.064
_cell_length_b 5.064
_cell_length_c 5.064
_cell_angle_alpha 90.00
_cell_angle_beta 90.00
_cell_angle_gamma 90.00
_symmetry_space_group_name_H-M 'P m -3 m'
_symmetry_Int_Tables_number 221
_symmetry_space_group_name_Hall '-P 4 2 3'
loop_
_atom_site_label
_atom_site_type_symbol
_atom_site_fract_x
_atom_site_fract_y
_atom_site_fract_z
_atom_site_occupancy
As1 As 0.000 0.000 0.000 1
As2 As 0.000 0.500 0.500 1
Br1 Br 0.500 0.500 0.500 1